BaPaCrN4 (PBE-GGA, optimized geometry); space-group type = P2_1/m, No. 11; D(E_F) = 5.32 states/eV per cell; formation energy without anion corrections = -23.45 kcal/mol of atoms; total magnetization = 0.129 μB/atom
1.0
5.8312 0.0000 0.0000
0.0000 5.6229 0.0000
-2.2040 0.0000 7.1229
Ba Pa Cr N
2 2 2 8
Direct
0.2145 0.2500 0.4242
0.7855 0.7500 0.5758
0.2788 0.2500 0.9487
0.7212 0.7500 0.0513
0.2624 0.7500 0.1672
0.7376 0.2500 0.8328
0.0593 0.7500 0.9462
0.0654 0.7500 0.3077
0.4693 0.5092 0.1868
0.4693 0.9908 0.1868
0.5307 0.0092 0.8132
0.5307 0.4908 0.8132
0.9346 0.2500 0.6923
0.9407 0.2500 0.0538